# 1
AlRh after structural relaxation. Source: Alexandria via LeMat-Bulk, functional PBE.

Unit cell a=8.8339 b=4.7910 c=4.8014 alpha=119.55 beta=80.00 gamma=94.24
Closest atoms and distances in Å follow each position.
Sites, in units of the cell vectors:
Rh 0.7473 0.9952 0.7409  3 Al 2.52-2.54, 5 Rh 2.70-2.79
Rh 0.0183 0.6586 0.3240  5 Al 2.53-2.80, 3 Rh 2.77-2.78
Rh 0.7482 0.6589 0.0776  3 Al 2.53-2.55, 5 Rh 2.70-2.79
Rh 0.0185 0.3248 0.6582  5 Al 2.51-2.79, 3 Rh 2.77-2.78
Rh 0.4731 0.6799 0.8500  7 Al 2.53-2.81
Rh 0.7457 0.3482 0.4322  3 Al 2.54-2.55, 5 Rh 2.70-2.84
Al 0.9693 0.0046 0.0171  7 Rh 2.54-2.80
Al 0.2442 0.6618 0.5850  3 Rh 2.53-2.56, 6 Al 2.72-2.82
Al 0.5229 0.3327 0.1556  5 Rh 2.53-2.80, 3 Al 2.74-2.80
Al 0.2476 0.3381 0.9173  3 Rh 2.53-2.56, 6 Al 2.72-2.82
Al 0.5218 0.0014 0.4854  5 Rh 2.52-2.81, 3 Al 2.74-2.80
Al 0.2433 0.9957 0.2567  3 Rh 2.51-2.55, 5 Al 2.74-2.80

Output
**Space group**: P1, No. 1
**Energy of formation**: -0.52 eV/atom

---

# 2
Nd2CdI2 after structural relaxation. Source: Alexandria via LeMat-Bulk, functional PBE.

Unit cell a=4.2482 b=4.2482 c=12.5810 alpha=80.28 beta=80.28 gamma=60.00
Closest atoms and distances in Å follow each position.
Sites, in units of the cell vectors:
Nd 0.6107 0.6107 0.1678  3 Cd 3.21, 3 I 3.22
Nd 0.3893 0.3893 0.8322  3 Cd 3.21, 3 I 3.22
Cd 0.0000 0.0000 0.0000  6 Nd 3.21
I 0.2211 0.2211 0.3367  3 Nd 3.22
I 0.7789 0.7789 0.6633  3 Nd 3.22

Output
**Space group**: R-3m, No. 166

---

# 3
BC2 after structural relaxation. Source: Alexandria via LeMat-Bulk, functional PBE.

Unit cell a=2.5851 b=2.5851 c=6.6106 alpha=90.00 beta=90.00 gamma=120.00
Closest atoms and distances in Å follow each position.
Sites, in units of the cell vectors:
B 0.6667 0.3333 0.6629  4 C 1.57-1.65
B 0.3333 0.6667 0.3210  4 C 1.62-1.64
C 0.0000 0.0000 0.7685  1 C 1.51, 3 B 1.65
C 0.6667 0.3333 0.4255  4 B 1.57-1.64
C 0.0000 0.0000 0.9962  4 C 1.51-1.58
C 0.3333 0.6667 0.0760  3 C 1.58, 1 B 1.62

Output
**Space group**: P3m1, No. 156
**Energy of formation**: 0.37 eV/atom
**Energy above the lowest structure with this stoichiometry**: 134 meV/atom

---

# 4
BaCa2MgGa after structural relaxation. Source: Alexandria via LeMat-Bulk, functional PBE.

Unit cell a=5.9012 b=5.9012 c=5.4350 alpha=90.00 beta=90.00 gamma=90.00
Closest atoms and distances in Å follow each position.
Sites, in units of the cell vectors:
Mg 0.0000 0.0000 0.5000  2 Ga 2.72
Ca 0.0000 0.5000 0.0000  2 Ga 2.95
Ca 0.5000 0.0000 0.0000  2 Ga 2.95
Ba 0.5000 0.5000 0.5000  8 Ca 4.01, 4 Mg 4.17
Ga 0.0000 0.0000 0.0000  2 Mg 2.72, 4 Ca 2.95

Output
**Space group**: P4/mmm, No. 123
**Energy of formation**: -0.07 eV/atom

---

# 5
La4TbPr4 after structural relaxation. Source: Alexandria via LeMat-Bulk, functional PBE.

Unit cell a=5.2731 b=8.2756 c=8.2756 alpha=84.17 beta=71.42 gamma=71.42
Closest atoms and distances in Å follow each position.
Sites, in units of the cell vectors:
La 0.6659 0.6681 0.0000  4 La 3.68-3.73, 2 Tb 3.71, 6 Pr 3.71
La 0.3341 0.3319 0.0000  4 La 3.68-3.73, 2 Tb 3.71, 6 Pr 3.71
La 0.6660 0.0000 0.6681  4 La 3.68-3.73, 2 Tb 3.71, 6 Pr 3.71
La 0.3340 0.0000 0.3319  4 La 3.68-3.73, 2 Tb 3.71, 6 Pr 3.71
Tb 0.0000 0.0000 0.0000  4 Pr 3.69, 8 La 3.71
Pr 0.6677 0.3322 0.3323  1 Tb 3.69, 6 La 3.71, 5 Pr 3.72-3.73
Pr 0.3323 0.6678 0.6677  1 Tb 3.69, 6 La 3.71, 5 Pr 3.72-3.73
Pr 0.0000 0.6677 0.3322  1 Tb 3.69, 6 La 3.71, 5 Pr 3.72-3.73
Pr 0.0000 0.3323 0.6678  1 Tb 3.69, 6 La 3.71, 5 Pr 3.72-3.73

Output
**Space group**: I4/mmm, No. 139
**Energy of formation**: 0.01 eV/atom

---

# 6
LaTl2P after structural relaxation. Source: Alexandria via LeMat-Bulk, functional PBE.

Unit cell a=4.0880 b=4.0880 c=7.5035 alpha=90.00 beta=90.00 gamma=90.00
Closest atoms and distances in Å follow each position.
Sites, in units of the cell vectors:
La 0.0000 0.0000 0.5734  4 P 2.93
P 0.5000 0.5000 0.6360  1 Tl 2.83, 4 La 2.93
Tl 0.0000 0.0000 0.0322  4 Tl 3.35, 1 La 3.44
Tl 0.5000 0.5000 0.2584  1 P 2.83

Output
**Space group**: P4mm, No. 99
**Energy of formation**: -0.51 eV/atom
**Energy above the lowest structure with this stoichiometry**: 18 meV/atom

---

# 7
HoHgS2O8 after structural relaxation. Source: Alexandria via LeMat-Bulk, functional PBE.

Unit cell a=5.3423 b=5.3423 c=8.3071 alpha=94.58 beta=94.58 gamma=62.86
Closest atoms and distances in Å follow each position.
Sites, in units of the cell vectors:
Ho 0.0000 0.0000 0.0000  6 O 2.21-2.25
Hg 0.0000 0.0000 0.5000  2 O 2.56
S 0.6687 0.6687 0.2181  4 O 1.47-1.50
S 0.3313 0.3313 0.7819  4 O 1.47-1.50
O 0.6428 0.2078 0.8171  1 S 1.50
O 0.7869 0.7869 0.1056  1 S 1.49
O 0.7286 0.7286 0.3882  1 S 1.47
O 0.2714 0.2714 0.6118  1 S 1.47
O 0.2131 0.2131 0.8944  1 S 1.49
O 0.2078 0.6428 0.8171  1 S 1.50
O 0.7922 0.3572 0.1829  1 S 1.50
O 0.3572 0.7922 0.1829  1 S 1.50

Output
**Space group**: C2/m, No. 12

---

# 8
KGe2P2 after structural relaxation. Source: Alexandria via LeMat-Bulk, functional PBE.

Unit cell a=6.6938 b=6.6938 c=6.3709 alpha=101.98 beta=101.98 gamma=103.62
Closest atoms and distances in Å follow each position.
Sites, in units of the cell vectors:
K 0.1178 0.8822 0.2500  4 P 3.34-3.47, 6 Ge 3.65-3.71
K 0.8822 0.1178 0.7500  4 P 3.34-3.47, 6 Ge 3.65-3.71
Ge 0.7699 0.5395 0.4874  3 P 2.43-2.50
Ge 0.4605 0.2301 0.0126  3 P 2.43-2.50
Ge 0.5395 0.7699 0.9874  3 P 2.43-2.50
Ge 0.2301 0.4605 0.5126  3 P 2.43-2.50
P 0.4413 0.5587 0.2500  4 Ge 2.44-2.50
P 0.7876 0.2124 0.2500  2 Ge 2.43
P 0.2124 0.7876 0.7500  2 Ge 2.43
P 0.5587 0.4413 0.7500  4 Ge 2.44-2.50

Output
**Space group**: C2/c, No. 15
**Energy of formation**: -0.05 eV/atom

---

# 9
MgZn2Si after structural relaxation. Source: Alexandria via LeMat-Bulk, functional PBE.

Unit cell a=2.9543 b=2.9543 c=7.6055 alpha=90.00 beta=90.00 gamma=89.99
Closest atoms and distances in Å follow each position.
Sites, in units of the cell vectors:
Mg 0.0000 0.0000 0.5022  4 Si 2.88, 4 Zn 2.91, 4 Mg 2.95
Si 0.5000 0.5000 0.7625  4 Zn 2.76, 4 Mg 2.88, 4 Si 2.95
Zn 0.0000 0.0000 0.9991  4 Si 2.76, 8 Zn 2.76-2.95
Zn 0.5000 0.5000 0.2362  8 Zn 2.76-2.95, 4 Mg 2.91

Output
**Space group**: P4mm, No. 99
**Energy above the lowest structure with this stoichiometry**: 69 meV/atom

---

# 10
Al8GaIr2 after structural relaxation. Source: Alexandria via LeMat-Bulk, functional PBE.

Unit cell a=4.9993 b=6.6026 c=6.6026 alpha=66.29 beta=99.75 gamma=99.75
Closest atoms and distances in Å follow each position.
Sites, in units of the cell vectors:
Al 0.4036 0.4083 0.8173  2 Ir 2.50-2.64, 2 Al 2.73-2.76
Al 0.5964 0.1827 0.5917  2 Ir 2.50-2.64, 2 Al 2.73-2.76
Al 0.2120 0.8025 0.8025  2 Ir 2.49-2.52, 1 Ga 2.61, 1 Al 2.70
Al 0.7880 0.1975 0.1975  2 Ir 2.49-2.52, 1 Ga 2.61, 1 Al 2.70
Al 0.4036 0.8173 0.4083  2 Ir 2.50-2.64, 2 Al 2.73-2.76
Al 0.5964 0.5917 0.1827  2 Ir 2.50-2.64, 2 Al 2.73-2.76
Al 0.8531 0.5848 0.5848  1 Ir 2.51, 6 Al 2.60-2.76
Al 0.1469 0.4152 0.4152  1 Ir 2.51, 6 Al 2.60-2.76
Ga 0.0000 0.0000 0.0000  2 Ir 2.51, 2 Al 2.61
Ir 0.7015 0.7878 0.7878  7 Al 2.49-2.64, 1 Ga 2.51
Ir 0.2985 0.2122 0.2122  7 Al 2.49-2.64, 1 Ga 2.51

Output
**Space group**: C2/m, No. 12
**Energy of formation**: -0.33 eV/atom

---

# 11
BaIn2IO8 after structural relaxation. Source: Alexandria via LeMat-Bulk, functional PBE.

Unit cell a=4.9530 b=4.7535 c=7.2974 alpha=89.87 beta=89.95 gamma=90.19
Closest atoms and distances in Å follow each position.
Sites, in units of the cell vectors:
Ba 0.0000 0.0000 0.5000  8 O 2.61-2.87
In 0.4999 0.4998 0.7668  6 O 2.19-2.27
In 0.5001 0.5002 0.2332  6 O 2.19-2.27
I 0.0000 0.0000 0.0000  6 O 1.89-1.96
O 0.1581 0.7837 0.1896  1 I 1.89
O 0.6884 0.7454 0.9998  1 I 1.96
O 0.8408 0.2149 0.1892  1 I 1.89
O 0.8419 0.2163 0.8104  1 I 1.89
O 0.3116 0.2546 0.0002  1 I 1.96
O 0.1592 0.7851 0.8108  1 I 1.89
O 0.5219 0.7381 0.5001  2 In 2.25-2.26, 2 O 2.27-2.50
O 0.4781 0.2619 0.4999  2 In 2.25-2.26, 2 O 2.27-2.50

Output
**Space group**: P-1, No. 2

---

Number 1: DFT total energy -6.07 eV per atom, total magnetization 0.000 μB per atom. Number 2: DFT total energy -3.55 eV per atom, total magnetization 0.000 μB per atom. Number 3: DFT total energy -8.00 eV per atom, total magnetization 0.000 μB per atom. Number 4: DFT total energy -2.18 eV per atom, total magnetization 0.000 μB per atom. Number 5: DFT total energy -4.81 eV per atom, total magnetization 0.000 μB per atom. Number 6: DFT total energy -4.28 eV per atom, total magnetization 0.000 μB per atom. Number 7: DFT total energy -6.11 eV per atom, total magnetization 0.085 μB per atom. Number 8: DFT total energy -4.28 eV per atom, total magnetization 0.000 μB per atom. Number 9: DFT total energy -2.26 eV per atom, total magnetization 0.000 μB per atom. Number 10: DFT total energy -4.94 eV per atom, total magnetization 0.000 μB per atom. Number 11: DFT total energy -5.13 eV per atom, total magnetization 0.016 μB per atom.